# 1
Here is crystalline DyY9Sc2 at its relaxed geometry from the Alexandria database. Energies are from GGA-PBE.

Cell: 4.982 4.982 14.919 Å, 90.00 90.00 90.00°
Space group P4/mmm (No. 123)
Symmetry-distinct sites (fractional):
Dy 0.000 0.000 0.000 [1 per cell]
Y 0.000 0.500 0.171 [4 per cell]
Y 0.000 0.500 0.500 [2 per cell]
Y 0.500 0.500 0.000 [1 per cell]
Y 0.500 0.500 0.336 [2 per cell]
Sc 0.000 0.000 0.335 [2 per cell]

Computed properties:
- E_form (eV/atom) = 0.042
- DOS(E_F) (states/eV/atom) = 1.585
- size of the total moment (μB/f.u.) = 0.00


# 2
Here is crystalline Dy4YSc at its relaxed geometry from the Alexandria database. Energies are from GGA-PBE.

Cell: 9.386 5.312 9.243 Å, 90.00 109.63 90.00°
Space group C2/m (No. 12)
Symmetry-distinct sites (fractional):
Dy 0.124 0.000 0.360 [4 per cell]
Dy 0.131 0.500 0.891 [4 per cell]
Y 0.000 0.500 0.500 [2 per cell]
Sc 0.000 0.000 0.000 [2 per cell]

Computed properties:
- excess energy over the best structure of this formula in the dataset (eV per atom) = 0.031
- E_form (eV/atom) = 0.721
- DOS(E_F) (states/eV/atom) = 1.268
- size of the total moment (μB/f.u.) = 0.00


# 3
Here is crystalline Dy8Y2Sc at its relaxed geometry from the Alexandria database. Energies are from GGA-PBE.

Cell: 8.884 16.064 5.819 Å, 90.00 123.38 90.00°
Space group C2/m (No. 12)
Symmetry-distinct sites (fractional):
Dy 0.000 0.202 0.000 [4 per cell]
Dy 0.079 0.500 0.798 [4 per cell]
Dy 0.216 0.116 0.678 [8 per cell]
Y 0.000 0.308 0.500 [4 per cell]
Sc 0.000 0.000 0.000 [2 per cell]

Computed properties:
- E_form (eV/atom) = 0.172
- DOS(E_F) (states/eV/atom) = 1.481
- size of the total moment (μB/f.u.) = 0.00


# 4
Here is crystalline Dy2Y5Sc at its relaxed geometry from the Alexandria database. Energies are from GGA-PBE.

Cell: 5.475 11.873 15.615 Å, 90.00 90.00 90.00°
Space group Cmcm (No. 63)
Symmetry-distinct sites (fractional):
Dy 0.000 0.221 0.135 [8 per cell]
Y 0.000 0.079 0.598 [8 per cell]
Y 0.000 0.379 0.549 [8 per cell]
Y 0.000 0.464 0.250 [4 per cell]
Sc 0.000 0.268 0.750 [4 per cell]

Computed properties:
- excess energy over the best structure of this formula in the dataset (eV per atom) = 0.113
- E_form (eV/atom) = 0.128
- DOS(E_F) (states/eV/atom) = 1.949
- size of the total moment (μB/f.u.) = 0.00


# 5
Here is crystalline Dy15Y2Sc2 at its relaxed geometry from the Alexandria database. Energies are from GGA-PBE.

Cell: 11.0512 11.0512 17.4124 Å, 90.00 90.00 120.00°
Space group R-3m (No. 166, hexagonal axes)
Symmetry-distinct sites (fractional):
Dy 0.0000 0.2946 0.0000 [18 per cell]
Dy 0.0000 0.5000 0.5000 [9 per cell]
Dy 0.0096 0.5048 0.1366 [18 per cell]
Y 0.0000 0.0000 0.3203 [6 per cell]
Sc 0.0000 0.0000 0.0908 [6 per cell]

Computed properties:
- E_form (eV/atom) = 0.281
- DOS(E_F) (states/eV/atom) = 1.778
- size of the total moment (μB/f.u.) = 0.08


# 6
Here is crystalline Dy3Y2Sc at its relaxed geometry from the Alexandria database. Energies are from GGA-PBE.

Cell: 6.1024 6.1024 34.0209 Å, 90.00 90.00 120.00°
Space group R-3c (No. 167, hexagonal axes)
Symmetry-distinct sites (fractional):
Dy 0.0000 0.3391 0.2500 [18 per cell]
Y 0.0000 0.0000 0.1672 [12 per cell]
Sc 0.0000 0.0000 0.0000 [6 per cell]

Computed properties:
- excess energy over the best structure of this formula in the dataset (eV per atom) = 0.000
- E_form (eV/atom) = 0.023
- DOS(E_F) (states/eV/atom) = 1.291
- size of the total moment (μB/f.u.) = 0.00


# 7
Here is crystalline Dy2Y7Sc at its relaxed geometry from the Alexandria database. Energies are from GGA-PBE.

Cell: 6.449 28.619 3.469 Å, 90.00 90.00 90.00°
Space group Cmmm (No. 65)
Symmetry-distinct sites (fractional):
Dy 0.000 0.208 0.000 [4 per cell]
Y 0.000 0.000 0.000 [2 per cell]
Y 0.000 0.313 0.500 [4 per cell]
Y 0.244 0.403 0.000 [8 per cell]
Sc 0.000 0.500 0.500 [2 per cell]

Computed properties:
- excess energy over the best structure of this formula in the dataset (eV per atom) = 0.000
- E_form (eV/atom) = 0.184
- DOS(E_F) (states/eV/atom) = 1.445
- size of the total moment (μB/f.u.) = 0.00


# 8
Here is crystalline DyY2Sc5 at its relaxed geometry from the Alexandria database. Energies are from GGA-PBE.

Cell: 6.873 10.696 11.904 Å, 90.00 90.00 90.00°
Space group Fmm2 (No. 42)
Symmetry-distinct sites (fractional):
Dy 0.000 0.000 0.000 [4 per cell]
Y 0.000 0.245 0.329 [8 per cell]
Sc 0.000 0.000 0.502 [4 per cell]
Sc 0.247 0.000 0.745 [8 per cell]
Sc 0.250 0.250 0.083 [8 per cell]

Computed properties:
- excess energy over the best structure of this formula in the dataset (eV per atom) = 0.000
- E_form (eV/atom) = 0.026
- DOS(E_F) (states/eV/atom) = 1.963
- size of the total moment (μB/f.u.) = 0.00


# 9
Here is crystalline Dy7Y3Sc at its relaxed geometry from the Alexandria database. Energies are from GGA-PBE.

Cell: 6.9855 6.9855 8.5517 Å, 90.00 90.00 120.00°
Space group P3m1 (No. 156)
Symmetry-distinct sites (fractional):
Dy 0.0000 0.0000 0.0000 [1 per cell]
Dy 0.1653 0.3307 0.6733 [3 per cell]
Dy 0.5018 0.0035 0.0012 [3 per cell]
Y 0.3352 0.1676 0.3412 [3 per cell]
Sc 0.6667 0.3333 0.6774 [1 per cell]

Computed properties:
- excess energy over the best structure of this formula in the dataset (eV per atom) = 0.043
- E_form (eV/atom) = 0.195
- DOS(E_F) (states/eV/atom) = 1.592
- size of the total moment (μB/f.u.) = 0.01


# 10
Here is crystalline Dy3YSc3 at its relaxed geometry from the Alexandria database. Energies are from GGA-PBE.

Cell: 8.2996 8.2996 20.8964 Å, 90.00 90.00 120.00°
Space group R-3 (No. 148, hexagonal axes)
Symmetry-distinct sites (fractional):
Dy 0.0520 0.4493 0.3809 [18 per cell]
Y 0.0000 0.0000 0.1521 [6 per cell]
Sc 0.0048 0.2258 0.5569 [18 per cell]

Computed properties:
- excess energy over the best structure of this formula in the dataset (eV per atom) = 0.161
- E_form (eV/atom) = 0.188
- DOS(E_F) (states/eV/atom) = 1.824
- size of the total moment (μB/f.u.) = 0.00


# 11
Here is crystalline Dy2Y4Sc at its relaxed geometry from the Alexandria database. Energies are from GGA-PBE.

Cell: 5.462 11.979 13.563 Å, 90.00 90.00 90.00°
Space group Cmce (No. 64)
Symmetry-distinct sites (fractional):
Dy 0.000 0.074 0.156 [8 per cell]
Y 0.000 0.136 0.681 [8 per cell]
Y 0.000 0.240 0.924 [8 per cell]
Sc 0.000 0.000 0.500 [4 per cell]

Computed properties:
- excess energy over the best structure of this formula in the dataset (eV per atom) = 0.010
- E_form (eV/atom) = 0.198
- DOS(E_F) (states/eV/atom) = 1.764
- size of the total moment (μB/f.u.) = 0.00


# 12
Here is crystalline DyY3Sc3 at its relaxed geometry from the Alexandria database. Energies are from GGA-PBE.

Cell: 9.2624 9.2624 5.4621 Å, 90.00 90.00 120.00°
Space group P6_3/m (No. 176)
Symmetry-distinct sites (fractional):
Dy 0.3333 0.6667 0.2500 [2 per cell]
Y 0.0479 0.8022 0.2500 [6 per cell]
Sc 0.0964 0.6131 0.7500 [6 per cell]

Computed properties:
- excess energy over the best structure of this formula in the dataset (eV per atom) = 0.000
- E_form (eV/atom) = 0.029
- DOS(E_F) (states/eV/atom) = 1.984
- size of the total moment (μB/f.u.) = 1.52


# 13
Here is crystalline Dy2Y5Sc at its relaxed geometry from the Alexandria database. Energies are from GGA-PBE.

Cell: 7.202 11.201 12.466 Å, 90.00 90.00 90.00°
Space group Fmm2 (No. 42)
Symmetry-distinct sites (fractional):
Dy 0.000 0.245 0.000 [8 per cell]
Y 0.000 0.000 0.664 [4 per cell]
Y 0.247 0.000 0.416 [8 per cell]
Y 0.250 0.250 0.248 [8 per cell]
Sc 0.000 0.000 0.165 [4 per cell]

Computed properties:
- excess energy over the best structure of this formula in the dataset (eV per atom) = 0.000
- E_form (eV/atom) = 0.014
- DOS(E_F) (states/eV/atom) = 1.862
- size of the total moment (μB/f.u.) = 0.00


# 14
Here is crystalline Dy8Y3Sc at its relaxed geometry from the Alexandria database. Energies are from GGA-PBE.

Cell: 7.626 7.626 15.359 Å, 90.00 90.00 90.00°
Space group I4/mmm (No. 139)
Symmetry-distinct sites (fractional):
Dy 0.245 0.245 0.122 [16 per cell]
Y 0.000 0.000 0.500 [2 per cell]
Y 0.000 0.500 0.250 [4 per cell]
Sc 0.000 0.000 0.000 [2 per cell]

Computed properties:
- E_form (eV/atom) = 0.743
- DOS(E_F) (states/eV/atom) = 1.299
- size of the total moment (μB/f.u.) = 0.00


# 15
Here is crystalline Dy8Y3Sc2 at its relaxed geometry from the Alexandria database. Energies are from GGA-PBE.

Cell: 7.658 19.469 5.569 Å, 90.00 90.00 90.00°
Space group Cmmm (No. 65)
Symmetry-distinct sites (fractional):
Dy 0.000 0.136 0.000 [4 per cell]
Dy 0.000 0.324 0.000 [4 per cell]
Dy 0.209 0.387 0.500 [8 per cell]
Y 0.000 0.000 0.500 [2 per cell]
Y 0.213 0.500 0.000 [4 per cell]
Sc 0.000 0.241 0.500 [4 per cell]

Computed properties:
- E_form (eV/atom) = 0.235
- DOS(E_F) (states/eV/atom) = 1.432
- size of the total moment (μB/f.u.) = 0.00


# 16
Here is crystalline DyYSc5 at its relaxed geometry from the Alexandria database. Energies are from GGA-PBE.

Cell: 5.120 5.120 7.579 Å, 90.00 90.00 90.00°
Space group P4/mmm (No. 123)
Symmetry-distinct sites (fractional):
Dy 0.000 0.000 0.000 [1 per cell]
Y 0.500 0.500 0.500 [1 per cell]
Sc 0.000 0.000 0.500 [1 per cell]
Sc 0.000 0.500 0.226 [4 per cell]

Computed properties:
- E_form (eV/atom) = 0.380
- DOS(E_F) (states/eV/atom) = 1.840
- size of the total moment (μB/f.u.) = 0.01


# 17
Here is crystalline Dy2YSc8 at its relaxed geometry from the Alexandria database. Energies are from GGA-PBE.

Cell: 8.714 16.064 5.494 Å, 90.00 128.94 90.00°
Space group C2/m (No. 12)
Symmetry-distinct sites (fractional):
Dy 0.000 0.190 0.000 [4 per cell]
Y 0.000 0.500 0.500 [2 per cell]
Sc 0.000 0.298 0.500 [4 per cell]
Sc 0.003 0.000 0.246 [4 per cell]
Sc 0.225 0.372 0.224 [8 per cell]

Computed properties:
- E_form (eV/atom) = 0.133
- DOS(E_F) (states/eV/atom) = 1.599
- size of the total moment (μB/f.u.) = 0.00


# 18
Here is crystalline DyYSc4 at its relaxed geometry from the Alexandria database. Energies are from GGA-PBE.

Cell: 6.588 18.402 5.306 Å, 90.00 90.05 90.00°
Space group C2/c (No. 15)
Symmetry-distinct sites (fractional):
Dy 0.000 0.125 0.250 [4 per cell]
Y 0.000 0.375 0.750 [4 per cell]
Sc 0.249 0.042 0.750 [8 per cell]
Sc 0.250 0.208 0.750 [8 per cell]

Computed properties:
- excess energy over the best structure of this formula in the dataset (eV per atom) = 0.000
- E_form (eV/atom) = 0.067
- DOS(E_F) (states/eV/atom) = 2.097
- size of the total moment (μB/f.u.) = 0.00


# 19
Here is crystalline Dy4YSc2 at its relaxed geometry from the Alexandria database. Energies are from GGA-PBE.

Cell: 8.934 8.934 5.531 Å, 90.00 90.00 90.00°
Space group P4_2/mnm (No. 136)
Symmetry-distinct sites (fractional):
Dy 0.105 0.363 0.000 [8 per cell]
Y 0.000 0.000 0.000 [2 per cell]
Sc 0.189 0.189 0.500 [4 per cell]

Computed properties:
- excess energy over the best structure of this formula in the dataset (eV per atom) = 0.249
- E_form (eV/atom) = 0.271
- DOS(E_F) (states/eV/atom) = 1.360
- size of the total moment (μB/f.u.) = 0.00


# 20
Here is crystalline Dy2YSc3 at its relaxed geometry from the Alexandria database. Energies are from GGA-PBE.

Cell: 5.965 3.442 16.534 Å, 90.00 96.93 90.00°
Space group P2_1/m (No. 11)
Symmetry-distinct sites (fractional):
Dy 0.027 0.250 0.333 [2 per cell]
Dy 0.250 0.250 0.000 [2 per cell]
Y 0.472 0.250 0.667 [2 per cell]
Sc 0.138 0.750 0.167 [2 per cell]
Sc 0.248 0.750 0.499 [2 per cell]
Sc 0.361 0.750 0.834 [2 per cell]

Computed properties:
- excess energy over the best structure of this formula in the dataset (eV per atom) = 0.000
- E_form (eV/atom) = 0.061
- DOS(E_F) (states/eV/atom) = 1.648
- size of the total moment (μB/f.u.) = 0.00